i.
A relaxed structure of LuBeAl, computed with PBE.

a b c (Å): 4.580 4.580 4.580
angles (deg): 60.00 60.00 60.00
Fractional positions:
Be 0.750 0.750 0.750
Lu 0.000 0.000 0.000
Al 0.250 0.250 0.250

Its crystal system is cubic.

ii.
A relaxed structure of LuBeAl, computed with PBE.

a b c (Å): 4.446 4.446 4.446
angles (deg): 60.00 60.00 60.00
Fractional positions:
Be 0.250 0.250 0.250
Lu 0.750 0.750 0.750
Al 0.000 0.000 0.000

Its crystal system is cubic.

Energetically preferred structure: ii | next structure: +44.1 kJ/mol of atoms

i.
A relaxed structure of BeAlNiMo, computed with PBE.

a b c (Å): 4.128 4.128 4.128
angles (deg): 60.00 60.00 60.00
Fractional positions:
Mo 0.500 0.500 0.500
Ni 0.750 0.750 0.750
Be 0.250 0.250 0.250
Al 0.000 0.000 0.000

Its crystal system is cubic.

ii.
A relaxed structure of BeAlNiMo, computed with PBE.

a b c (Å): 4.111 4.111 4.111
angles (deg): 60.00 60.00 60.00
Fractional positions:
Mo 0.250 0.250 0.250
Be 0.500 0.500 0.500
Al 0.000 0.000 0.000
Ni 0.750 0.750 0.750

Its crystal system is cubic.

Energetically preferred structure: i | next structure: +1.9 kJ/mol of atoms

i.
A relaxed structure of BeNbAlNi, computed with PBE.

a b c (Å): 4.189 4.189 4.189
angles (deg): 60.00 60.00 60.00
Fractional positions:
Ni 0.750 0.750 0.750
Al 0.000 0.000 0.000
Nb 0.500 0.500 0.500
Be 0.250 0.250 0.250

Its crystal system is cubic.

ii.
A relaxed structure of BeNbAlNi, computed with PBE.

a b c (Å): 4.212 4.212 4.212
angles (deg): 60.00 60.00 60.00
Fractional positions:
Be 0.500 0.500 0.500
Ni 0.750 0.750 0.750
Nb 0.250 0.250 0.250
Al 0.000 0.000 0.000

Its crystal system is cubic.

Energetically preferred structure: i | next structure: +16.3 kJ/mol of atoms

i.
A relaxed structure of BeAlNiPd, computed with PBE.

a b c (Å): 4.093 4.093 4.093
angles (deg): 60.00 60.00 60.00
Fractional positions:
Pd 0.500 0.500 0.500
Al 0.000 0.000 0.000
Ni 0.750 0.750 0.750
Be 0.250 0.250 0.250

Its crystal system is cubic.

ii.
A relaxed structure of BeAlNiPd, computed with PBE.

a b c (Å): 4.063 4.063 4.063
angles (deg): 60.00 60.00 60.00
Fractional positions:
Pd 0.250 0.250 0.250
Be 0.500 0.500 0.500
Ni 0.750 0.750 0.750
Al 0.000 0.000 0.000

Its crystal system is cubic.

Energetically preferred structure: ii | next structure: +20.8 kJ/mol of atoms

i.
A relaxed structure of NpBeAl, computed with PBE.

a b c (Å): 4.461 4.461 4.461
angles (deg): 60.00 60.00 60.00
Last column: magnetic moment on the atom in μB.
Fractional positions:
Al 0.000 0.000 0.000  -0.01
Be 0.250 0.250 0.250  -0.04
Np 0.750 0.750 0.750  3.77

Its crystal system is cubic.

ii.
A relaxed structure of NpBeAl, computed with PBE.

a b c (Å): 4.334 4.334 4.334
angles (deg): 60.00 60.00 60.00
Last column: magnetic moment on the atom in μB.
Fractional positions:
Np 0.000 0.000 0.000  3.67
Be 0.250 0.250 0.250  0.00
Al 0.500 0.500 0.500  -0.01

Its crystal system is cubic.

Energetically preferred structure: ii | next structure: +39.3 kJ/mol of atoms

i.
A relaxed structure of BeAlOs, computed with PBE.

a b c (Å): 3.960 3.960 3.960
angles (deg): 60.00 60.00 60.00
Fractional positions:
Os 0.750 0.750 0.750
Be 0.250 0.250 0.250
Al 0.000 0.000 0.000

Its crystal system is cubic.

ii.
A relaxed structure of BeAlOs, computed with PBE.

a b c (Å): 3.991 3.991 3.991
angles (deg): 60.00 60.00 60.00
Fractional positions:
Al 0.250 0.250 0.250
Be 0.750 0.750 0.750
Os 0.000 0.000 0.000

Its crystal system is cubic.

Energetically preferred structure: ii | next structure: +15.3 kJ/mol of atoms